(1)
Below is Al2As2O after structural relaxation, with properties calculated at the GGA-PBE level.

Cell lengths 3.670, 3.670, 7.036 Å; angles 74.88, 74.88, 90.00 degrees
Element x y z (fractional)
As  0.750  0.250  0.500
As  0.250  0.750  0.500
Al  0.408  0.408  0.184
Al  0.592  0.592  0.816
O  0.000  0.000  0.000

Results
Distance to the lowest polymorph of the same formula ... 892 meV per atom
Calculated volume ... 88.1 Å³/cell
Energy relative to the elements, uncorrected ... 0.18 eV per atom

=====

(2)
Below is Al2AsO after structural relaxation, with properties calculated at the GGA-PBE level.

Cell lengths 4.284, 4.284, 4.284 Å; angles 60.00, 60.00, 60.00 degrees
Element x y z (fractional)
As  0.500  0.500  0.500
O  0.000  0.000  0.000
Al  0.750  0.750  0.750
Al  0.250  0.250  0.250

Results
Distance to the lowest polymorph of the same formula ... 779 meV per atom
Calculated volume ... 55.6 Å³/cell
Energy relative to the elements, uncorrected ... -0.23 eV per atom

=====

(3)
Below is AlAsO2 after structural relaxation, with properties calculated at the GGA-PBE level.

Cell lengths 5.040, 5.040, 5.556 Å; angles 63.03, 63.03, 90.00 degrees
Element x y z (fractional)
O  0.249  0.625  0.250
O  0.375  0.499  0.750
O  0.875  0.751  0.750
O  0.501  0.125  0.250
Al  0.500  0.500  0.000
Al  0.250  0.750  0.500
As  0.000  0.000  0.000
As  0.750  0.250  0.500

Results
Distance to the lowest polymorph of the same formula ... 487 meV per atom
Calculated volume ... 108.3 Å³/cell
Energy relative to the elements, uncorrected ... -1.49 eV per atom

=====

(4)
Below is AlAs3O after structural relaxation, with properties calculated at the GGA-PBE level.

Cell lengths 4.390, 4.390, 4.390 Å; angles 90.00, 90.00, 90.00 degrees
Element x y z (fractional)
Al  0.500  0.500  0.500
As  0.000  0.000  0.500
As  0.000  0.500  0.000
As  0.500  0.000  0.000
O  0.000  0.000  0.000

Results
Distance to the lowest polymorph of the same formula ... 0 meV per atom
Calculated volume ... 84.6 Å³/cell
Energy relative to the elements, uncorrected ... 0.25 eV per atom

=====

(5)
Below is AlAsO4 after structural relaxation, with properties calculated at the GGA-PBE level.

Cell lengths 5.140, 5.141, 11.463 Å; angles 90.00, 90.00, 120.00 degrees
Element x y z (fractional)
O  0.876  0.282  0.451
O  0.291  0.884  0.387
O  0.406  0.116  0.613
O  0.594  0.718  0.549
O  0.709  0.593  0.280
O  0.718  0.594  0.785
O  0.406  0.124  0.118
O  0.124  0.406  0.215
O  0.116  0.406  0.720
O  0.282  0.876  0.882
O  0.884  0.291  0.947
O  0.594  0.709  0.053
Al  0.462  0.462  0.667
Al  0.538  0.000  0.000
Al  0.000  0.538  0.333
As  0.000  0.539  0.833
As  0.540  0.000  0.500
As  0.460  0.461  0.167

Results
Calculated volume ... 262.3 Å³/cell
Energy relative to the elements, uncorrected ... -1.97 eV per atom

=====

(6)
Below is AlAsO2 after structural relaxation, with properties calculated at the GGA-PBE level.

Cell lengths 6.442, 6.442, 6.442 Å; angles 25.82, 25.82, 25.82 degrees
Element x y z (fractional)
O  0.115  0.115  0.115
O  0.885  0.885  0.885
Al  0.500  0.500  0.500
As  0.000  0.000  0.000

Results
Distance to the lowest polymorph of the same formula ... 0 meV per atom
Calculated volume ... 44.7 Å³/cell
Energy relative to the elements, uncorrected ... -1.98 eV per atom

=====

(7)
Below is AlAs3O after structural relaxation, with properties calculated at the GGA-PBE level.

Cell lengths 4.758, 4.758, 4.758 Å; angles 90.00, 90.00, 90.00 degrees
Element x y z (fractional)
Al  0.000  0.000  0.000
As  0.500  0.000  0.000
As  0.000  0.000  0.500
As  0.000  0.500  0.000
O  0.500  0.500  0.500

Results
Distance to the lowest polymorph of the same formula ... 764 meV per atom
Calculated volume ... 107.7 Å³/cell
Energy relative to the elements, uncorrected ... 1.02 eV per atom

=====

(8)
Below is Al4As3O23 after structural relaxation, with properties calculated at the GGA-PBE level.

Cell lengths 7.913, 7.913, 7.913 Å; angles 90.00, 90.00, 90.00 degrees
Last column: magnetic moment on the atom in μB.
Element x y z (fractional)
O  0.873  0.620  0.127  0.02
O  0.873  0.873  0.380  0.02
O  0.792  0.208  0.208  0.66
O  0.112  0.888  0.112  0.31
O  0.888  0.112  0.112  0.31
O  0.208  0.792  0.208  0.66
O  0.500  0.500  0.000  1.58
O  0.127  0.380  0.127  0.02
O  0.873  0.380  0.873  0.02
O  0.792  0.792  0.792  0.66
O  0.873  0.127  0.620  0.02
O  0.127  0.127  0.380  0.02
O  0.112  0.112  0.888  0.31
O  0.500  0.000  0.500  1.58
O  0.888  0.888  0.888  0.31
O  0.000  0.500  0.500  1.58
O  0.127  0.620  0.873  0.02
O  0.127  0.873  0.620  0.02
O  0.620  0.127  0.873  0.02
O  0.208  0.208  0.792  0.66
O  0.380  0.127  0.127  0.02
O  0.620  0.873  0.127  0.02
O  0.380  0.873  0.873  0.02
As  0.000  0.000  0.500  0.00
As  0.500  0.000  0.000  0.00
As  0.000  0.500  0.000  0.00
Al  0.163  0.837  0.837  0.00
Al  0.163  0.163  0.163  0.00
Al  0.837  0.837  0.163  0.00
Al  0.837  0.163  0.837  0.00

Results
Calculated volume ... 495.5 Å³/cell
Energy relative to the elements, uncorrected ... -0.89 eV per atom

=====

no.,theoretical density (g/cm3),total energy (eV/atom)
1,4.144,-4.173
2,4.328,-4.507
3,4.108,-6.070
4,5.254,-4.277
5,3.151,-6.677
6,4.979,-6.558
7,4.126,-3.513
8,2.348,-5.653